No. 1
68
Lattice="-5.957 -4.710 12.884 -14.733 2.453 -0.767 9.183 -6.943 -9.547" Properties=species:S:1:pos:R:3 comment="Ir2Se9Cl6 PBE relaxed" energy_ev_per_atom=-3.871 pbc="T T T"
Cl -9.641 -2.940 8.448
Cl -6.499 -4.044 9.362
Cl -9.132 -4.617 11.293
Cl -2.379 -2.964 4.632
Cl -7.919 -0.474 -0.120
Cl -5.310 -3.607 6.040
Cl 1.750 -2.784 -1.342
Cl -10.374 -3.464 4.051
Cl -1.181 -3.427 0.066
Cl -15.119 -4.031 5.522
Cl -3.018 -7.057 8.220
Cl -8.653 -0.999 -4.517
Cl -5.926 -4.477 -0.509
Cl -6.454 -5.982 2.553
Cl -3.439 -5.938 1.177
Cl -12.679 -6.030 3.882
Cl 0.183 -5.593 -2.252
Cl -9.962 -6.057 1.983
Cl 0.852 -4.824 -7.599
Cl -9.293 -5.289 -3.364
Cl -2.388 -9.561 3.386
Cl -5.671 -4.943 -6.793
Cl -2.656 -4.900 -8.169
Cl -3.184 -6.405 -5.106
Ir -4.439 -1.728 4.829
Ir -8.646 -5.076 8.990
Ir -15.605 -3.573 7.825
Ir 0.879 -4.663 -0.131
Ir -11.726 -4.466 2.315
Ir -5.587 -6.684 0.416
Ir -3.522 -4.197 -6.032
Ir 2.616 -6.416 -7.931
Se -2.781 -0.303 1.629
Se -17.910 -1.954 10.488
Se -12.475 -2.796 10.133
Se -7.840 -0.838 3.146
Se -16.773 -1.593 7.118
Se -13.350 -2.712 7.878
Se -16.083 -3.461 10.173
Se -4.932 -1.101 0.961
Se -10.958 -0.758 1.135
Se -4.972 -2.881 2.787
Se -13.321 -1.057 1.144
Se -7.335 -3.180 2.795
Se -13.361 -2.838 2.970
Se -8.168 -5.187 6.642
Se -4.943 -1.227 -3.947
Se -1.520 -2.345 -3.187
Se -10.453 -3.100 0.784
Se -11.776 -5.852 6.682
Se -0.778 -6.088 3.069
Se -6.341 -6.694 6.327
Se -3.143 -3.720 -2.114
Se -11.705 -3.202 -1.372
Se -9.854 -6.841 5.679
Se -4.690 -3.709 -3.976
Se -1.283 -3.789 -5.276
Se -0.203 -6.587 0.805
Se 2.762 -5.264 -4.286
Se 1.681 -8.158 1.504
Se 3.943 -5.176 -6.353
Se 2.862 -8.070 -0.563
Se 5.827 -6.747 -5.654
Se -7.827 -7.093 -0.340
Se -4.420 -7.172 -1.640
Se -5.213 -8.751 1.589
Se 2.595 -7.679 -4.244
Se -5.967 -7.161 -3.502

No. 2
8
Lattice="-3.827 0.427 -0.279 -1.002 -3.504 8.364 2.349 5.214 2.466" Properties=species:S:1:pos:R:3 comment="Dy2TmTc PBE relaxed" formation_enthalpy_0k_ev_per_fu=-0.5 pbc="T T T"
Dy -2.842 1.256 0.836
Dy -3.212 -0.038 3.925
Dy 0.732 2.175 6.625
Dy 0.362 0.881 9.714
Tc -3.611 -2.186 6.116
Tc 1.131 4.323 4.435
Tm -1.553 -0.593 7.030
Tm -0.927 2.730 3.521